The following is a DFT calculation (PBE) of an optimized crystal structure of GdAlAg.

```
data_GdAlAg
_symmetry_space_group_name_H-M 'I 4 m m'
_symmetry_Int_Tables_number 107
_symmetry_space_group_name_Hall 'I 4 -2'
_cell_length_a 3.328
_cell_length_b 3.328
_cell_length_c 11.586
_cell_angle_alpha 90.00
_cell_angle_beta 90.00
_cell_angle_gamma 90.00
loop_
_atom_site_label
_atom_site_type_symbol
_atom_site_fract_x
_atom_site_fract_y
_atom_site_fract_z
Gd1 Gd 0.000 0.000 0.000
Al1 Al 0.000 0.000 0.684
Ag1 Ag 0.000 0.000 0.307
```

Fermi-level density of states: 2.3 states/eV/f.u.
Energy of formation: -0.253 eV per atom

The following is a DFT calculation (PBE) of an optimized crystal structure of Gd2AlAg.

```
data_Gd2AlAg
_symmetry_space_group_name_H-M 'R -3 m'
_symmetry_Int_Tables_number 166
_symmetry_space_group_name_Hall '-R 3 2"'
_cell_length_a 3.3852
_cell_length_b 3.3852
_cell_length_c 32.0856
_cell_angle_alpha 90.00
_cell_angle_beta 90.00
_cell_angle_gamma 120.00
loop_
_atom_site_label
_atom_site_type_symbol
_atom_site_fract_x
_atom_site_fract_y
_atom_site_fract_z
Gd1 Gd 0.0000 0.0000 0.0941
Al1 Al 0.0000 0.0000 0.5000
Ag1 Ag 0.0000 0.0000 0.0000
```

Fermi-level density of states: 2.7 states/eV/f.u.
Energy of formation: 0.153 eV per atom

The following is a DFT calculation (PBE) of an optimized crystal structure of Gd2AlAg.

```
data_Gd2AlAg
_symmetry_space_group_name_H-M 'P 4/m m m'
_symmetry_Int_Tables_number 123
_symmetry_space_group_name_Hall '-P 4 2'
_cell_length_a 3.583
_cell_length_b 3.583
_cell_length_c 7.635
_cell_angle_alpha 90.00
_cell_angle_beta 90.00
_cell_angle_gamma 90.00
loop_
_atom_site_label
_atom_site_type_symbol
_atom_site_fract_x
_atom_site_fract_y
_atom_site_fract_z
Gd1 Gd 0.000 0.000 0.247
Al1 Al 0.500 0.500 0.000
Ag1 Ag 0.500 0.500 0.500
```

Fermi-level density of states: 3.3 states/eV/f.u.
Energy of formation: -0.353 eV per atom

The following is a DFT calculation (PBE) of an optimized crystal structure of GdAlAg.

```
data_GdAlAg
_symmetry_space_group_name_H-M 'P -6 m 2'
_symmetry_Int_Tables_number 187
_symmetry_space_group_name_Hall 'P -6 2'
_cell_length_a 4.6894
_cell_length_b 4.6894
_cell_length_c 3.5019
_cell_angle_alpha 90.00
_cell_angle_beta 90.00
_cell_angle_gamma 120.00
loop_
_atom_site_label
_atom_site_type_symbol
_atom_site_fract_x
_atom_site_fract_y
_atom_site_fract_z
Gd1 Gd 0.0000 0.0000 0.0000
Al1 Al 0.6667 0.3333 0.5000
Ag1 Ag 0.3333 0.6667 0.5000
```

Fermi-level density of states: 2.1 states/eV/f.u.
Energy of formation: -0.394 eV per atom